# PmNdAlRu

PmNdAlRu after structural relaxation (PBE-GGA, Alexandria via LeMat-Bulk).

Calculated values
The crystal system is cubic.

Lattice parameters (Å, degrees): 5.1097 5.1097 5.1097 60.00 60.00 60.00
Last column: nearest neighbours and their distance in Å.
Sites, in units of the cell vectors:
Nd 0.0000 0.0000 0.0000  4 Al 3.13, 4 Ru 3.13
Pm 0.5000 0.5000 0.5000  4 Ru 3.13, 4 Al 3.13
Al 0.2500 0.2500 0.2500  4 Nd 3.13, 4 Pm 3.13
Ru 0.7500 0.7500 0.7500  4 Pm 3.13, 4 Nd 3.13


# Dy2Mg3Ag4

Dy2Mg3Ag4 after structural relaxation (PBE-GGA, Alexandria via LeMat-Bulk).

Calculated values
The offset from the most stable computed form is 0 meV per atom. The crystal system is monoclinic.

Lattice parameters (Å, degrees): 4.8982 4.8821 9.4289 90.26 89.93 59.93
Last column: nearest neighbours and their distance in Å.
Sites, in units of the cell vectors:
Ag 0.0025 0.9963 0.6472  1 Ag 2.78, 3 Mg 2.89-2.90, 3 Dy 3.09
Mg 0.0000 0.0000 0.0000  6 Ag 2.96-2.98
Ag 0.3323 0.3348 0.0984  4 Mg 2.96-3.04, 4 Dy 2.99-3.04
Mg 0.3319 0.3355 0.4211  4 Ag 2.89-3.04, 3 Mg 3.18-3.21
Ag 0.6677 0.6652 0.9016  4 Mg 2.96-3.04, 4 Dy 2.99-3.04
Ag 0.9975 0.0037 0.3528  1 Ag 2.78, 3 Mg 2.89-2.90, 3 Dy 3.09
Mg 0.6681 0.6645 0.5789  4 Ag 2.89-3.04, 3 Mg 3.18-3.21
Dy 0.3346 0.3315 0.7809  7 Ag 2.99-3.09
Dy 0.6654 0.6685 0.2191  7 Ag 2.99-3.09


# TbScPb2

TbScPb2 after structural relaxation (PBE-GGA, Alexandria via LeMat-Bulk).

Calculated values
The crystal system is tetragonal.

Lattice parameters (Å, degrees): 4.4124 4.9070 4.9070 90.00 90.00 90.00
Last column: nearest neighbours and their distance in Å.
Sites, in units of the cell vectors:
Sc 0.5000 0.0000 0.0000  8 Pb 3.30, 4 Tb 3.47
Tb 0.5000 0.5000 0.5000  8 Pb 3.30, 4 Sc 3.47
Pb 0.0000 0.5000 0.0000  4 Tb 3.30, 4 Sc 3.30, 4 Pb 3.47
Pb 0.0000 0.0000 0.5000  4 Tb 3.30, 4 Sc 3.30, 4 Pb 3.47


# AcMgAgTe3

AcMgAgTe3 after structural relaxation (PBE-GGA, Alexandria via LeMat-Bulk).

Calculated values
The crystal system is monoclinic.

Lattice parameters (Å, degrees): 4.4485 8.6927 9.8086 103.22 90.00 90.00
Last column: nearest neighbours and their distance in Å.
Sites, in units of the cell vectors:
Ag 0.7500 0.9204 0.4196  4 Te 2.84-2.96, 2 Ag 2.89
Te 0.7500 0.2678 0.5244  3 Ag 2.89-2.96, 1 Mg 3.07
Mg 0.2500 0.6630 0.1544  6 Te 2.91-3.08
Te 0.2500 0.1015 0.8735  1 Ag 2.84, 2 Mg 3.08
Te 0.7500 0.4308 0.1498  3 Mg 2.91-3.00
Te 0.2500 0.7322 0.4756  3 Ag 2.89-2.96, 1 Mg 3.07
Ac 0.2500 0.1900 0.2482  7 Te 3.34-3.58, 1 Ag 3.60
Te 0.2500 0.5692 0.8502  3 Mg 2.91-3.00
Mg 0.7500 0.3370 0.8456  6 Te 2.91-3.08
Ag 0.2500 0.0796 0.5804  4 Te 2.84-2.96, 2 Ag 2.89
Ac 0.7500 0.8100 0.7518  7 Te 3.34-3.58, 1 Ag 3.60
Te 0.7500 0.8985 0.1265  1 Ag 2.84, 2 Mg 3.08


no.,ρ (Mg/m³),energy (eV/atom)
1,7.35,-5.83
2,7.06,-3.06
3,9.66,-4.96
4,6.67,-3.96